1.
# GePPbN2

A relaxed GePPbN2 crystal (GGA-PBE, the Alexandria database).

Structure (POSCAR):
```
GePPbN2
1.0
4.3335 0.0000 0.0000
0.0000 4.3335 0.0000
0.0000 0.0000 5.4658
Ge P Pb N
1 1 1 2
Cartesian
0.0000 0.0000 0.0000
2.1668 2.1668 0.0000
2.1668 2.1668 2.7329
0.0000 2.1668 2.7329
2.1668 0.0000 2.7329
```

Space group ... P4/mmm (123)
Fermi-level density of states ... 2.01 states/eV per cell

2.
# Pm2GePN5

A relaxed Pm2GePN5 crystal (GGA-PBE, the Alexandria database).

Structure (POSCAR):
```
Pm2GePN5
1.0
1.5458 -7.4201 0.0000
1.5458 7.4201 0.0000
0.0000 0.0000 9.8757
Pm Ge P N
4 2 2 10
Cartesian
1.5458 5.6632 4.9379
1.5458 5.6016 1.3220
1.5458 -5.6016 6.2598
1.5458 -5.6632 0.0000
1.5458 4.1817 8.4359
1.5458 -4.1817 3.4980
1.5458 0.8042 2.5716
1.5458 -0.8042 7.5095
1.5458 6.9855 8.3322
1.5458 3.1096 4.8149
1.5458 2.4495 2.2364
1.5458 2.3477 8.1080
1.5458 0.0687 1.1301
1.5458 -0.0687 6.0679
1.5458 -2.3477 3.1701
1.5458 -2.4495 7.1743
1.5458 -3.1096 9.7528
1.5458 -6.9855 3.3943
```

Space group ... Cmc2_1 (36)

3.
# PmGeP2N6

A relaxed PmGeP2N6 crystal (GGA-PBE, the Alexandria database).

Structure (POSCAR):
```
PmGeP2N6
1.0
4.9772 -5.0947 0.0000
4.9772 5.0947 0.0000
-2.4767 0.0000 5.1450
Pm Ge P N
2 2 4 12
Cartesian
3.1196 3.8509 3.8588
4.3580 -3.8509 1.2863
4.3580 2.8512 1.2863
3.1196 -2.8512 3.8588
0.9641 0.7578 4.3986
2.2024 -0.7578 1.8261
5.2752 0.7578 3.3190
6.5135 -0.7578 0.7465
-0.4938 0.9368 3.6564
1.7253 2.1454 4.7764
0.7446 -0.9368 1.0839
1.8889 0.0873 3.2050
3.1273 -0.0873 0.6325
4.5139 2.1454 2.9412
2.9637 -2.1454 2.2038
4.3503 0.0873 4.5126
5.5887 -0.0873 1.9400
6.7330 0.9368 4.0611
5.7523 -2.1454 0.3687
7.9714 -0.9368 1.4886
```

Space group ... C2/c (15)
Fermi-level density of states ... 6.60 states/eV per cell

4.
# Rb2GePN

A relaxed Rb2GePN crystal (GGA-PBE, the Alexandria database).

Structure (POSCAR):
```
Rb2GePN
1.0
6.5917 0.0000 0.0000
0.0000 6.5917 0.0000
0.0000 0.0000 4.5297
Rb Ge P N
2 1 1 1
Cartesian
0.0000 3.2958 0.0000
3.2958 0.0000 0.0000
0.0000 0.0000 2.2648
0.0000 0.0000 0.0000
3.2958 3.2958 2.2648
```

Space group ... P4/mmm (123)
Fermi-level density of states ... 6.98 states/eV per cell

5.
# GePSN

A relaxed GePSN crystal (GGA-PBE, the Alexandria database).

Structure (POSCAR):
```
GePSN
1.0
3.9090 0.0000 0.0000
-1.9015 4.3692 0.0000
-1.7685 -1.0954 4.7277
Ge P S N
1 1 1 1
Cartesian
0.0000 0.0000 0.0000
0.1881 0.1636 3.9122
1.1440 -0.1008 2.0478
-0.2758 1.5902 4.3557
```

Energy relative to the lowest polymorph listed for this composition ... 113 meV/atom
Space group ... P1 (1)

6.
# GePSN

A relaxed GePSN crystal (GGA-PBE, the Alexandria database).

Structure (POSCAR):
```
GePSN
1.0
5.3604 -1.4978 0.0000
5.3604 1.4978 0.0000
-2.2313 0.0000 5.3761
Ge P S N
1 1 1 1
Cartesian
0.0000 0.0000 0.0000
1.3531 0.0000 3.2249
-0.7121 0.0000 3.2910
2.0832 0.0000 4.7182
```

Energy relative to the lowest polymorph listed for this composition ... 190 meV/atom
Space group ... Cm (8)
Fermi-level density of states ... 0.97 states/eV per cell

7.
# GePS2N

A relaxed GePS2N crystal (GGA-PBE, the Alexandria database).

Structure (POSCAR):
```
GePS2N
1.0
4.8503 0.0000 0.0000
0.0000 4.8503 0.0000
0.0000 0.0000 3.5210
Ge P S N
1 1 2 1
Cartesian
0.0000 0.0000 0.0000
2.4251 2.4251 1.7605
0.0000 2.4251 0.0000
2.4251 0.0000 0.0000
0.0000 0.0000 1.7605
```

Energy relative to the lowest polymorph listed for this composition ... 575 meV/atom
Space group ... P4/mmm (123)
Fermi-level density of states ... 3.94 states/eV per cell

8.
# GePSN

A relaxed GePSN crystal (GGA-PBE, the Alexandria database).

Structure (POSCAR):
```
GePSN
1.0
2.7040 0.0000 0.0000
-0.0628 5.7247 0.0000
-1.3515 -2.4351 5.3572
Ge P S N
1 1 1 1
Cartesian
0.0000 0.0000 0.0000
1.3511 1.1372 2.7969
1.3505 0.0155 4.7599
-0.0008 0.5046 1.9669
```

Energy relative to the lowest polymorph listed for this composition ... 76 meV/atom
Space group ... P1 (1)
Fermi-level density of states ... 0.25 states/eV per cell

9.
# GePSN

A relaxed GePSN crystal (GGA-PBE, the Alexandria database).

Structure (POSCAR):
```
GePSN
1.0
3.2350 0.0000 0.0000
1.6172 2.8020 0.0000
0.7567 0.4971 7.8834
Ge P S N
1 1 1 1
Cartesian
0.0000 0.0000 0.0000
3.9894 2.3652 5.0897
1.6170 0.9340 1.4212
3.9898 2.3648 6.7402
```

Energy relative to the lowest polymorph listed for this composition ... 170 meV/atom
Space group ... P1 (1)
Fermi-level density of states ... 0.74 states/eV per cell

10.
# GePSN

A relaxed GePSN crystal (GGA-PBE, the Alexandria database).

Structure (POSCAR):
```
GePSN
1.0
2.9148 -1.5819 0.0000
2.9148 1.5819 0.0000
-2.3916 0.0000 7.6339
Ge P S N
1 1 1 1
Cartesian
0.0000 0.0000 0.0000
-1.0183 0.0000 5.5897
1.3858 0.0000 4.2408
3.9139 0.0000 0.5963
```

Energy relative to the lowest polymorph listed for this composition ... 279 meV/atom
Space group ... Cm (8)
Fermi-level density of states ... 0.40 states/eV per cell

11.
# GePSN

A relaxed GePSN crystal (GGA-PBE, the Alexandria database).

Structure (POSCAR):
```
GePSN
1.0
3.4065 0.0000 0.0000
-1.2279 3.6108 0.0000
-1.0214 -1.7600 5.4409
Ge P S N
1 1 1 1
Cartesian
0.0000 0.0000 0.0000
-1.0585 0.2255 4.0844
1.4633 -0.7919 2.4588
1.7282 0.1540 1.0688
```

Energy relative to the lowest polymorph listed for this composition ... 366 meV/atom
Space group ... P1 (1)
Fermi-level density of states ... 0.05 states/eV per cell

12.
# GeP2SN

A relaxed GeP2SN crystal (GGA-PBE, the Alexandria database).

Structure (POSCAR):
```
GeP2SN
1.0
4.7885 0.0000 0.0000
0.0000 4.7885 0.0000
0.0000 0.0000 4.7217
Ge P S N
1 2 1 1
Cartesian
0.0000 0.0000 0.0000
0.0000 2.3943 0.0000
2.3943 0.0000 0.0000
0.0000 0.0000 2.3609
2.3943 2.3943 2.3609
```

Energy relative to the lowest polymorph listed for this composition ... 927 meV/atom
Space group ... P4/mmm (123)
Fermi-level density of states ... 3.32 states/eV per cell

no.,raw total energy (eV per formula unit)
1,-21.0
2,-67.3
3,-73.7
4,-16.2
5,-22.0
6,-21.7
7,-21.3
8,-22.1
9,-21.8
10,-21.3
11,-21.0
12,-18.4